Entry 1:
A relaxed structure of Al4Zn. Source: Alexandria via LeMat-Bulk, functional PBE-GGA.

Cell and atoms, written as CIF:
```
data_Al4Zn
_cell_length_a 5.821
_cell_length_b 5.821
_cell_length_c 5.821
_cell_angle_alpha 90.00
_cell_angle_beta 90.00
_cell_angle_gamma 90.00
_symmetry_space_group_name_H-M 'I m -3 m'
_symmetry_Int_Tables_number 229
_symmetry_space_group_name_Hall '-I 4 2 3'
loop_
_atom_site_label
_atom_site_type_symbol
_atom_site_fract_x
_atom_site_fract_y
_atom_site_fract_z
Al1 Al 0.250 0.250 0.250
Zn1 Zn 0.000 0.000 0.000
```

Computed properties:
Its calculated total energy is -2.9363 eV/atom. The calculation puts the formation enthalpy at 0 K at 0.31 eV/atom. Its calculated volume is 197.2 Å³/cell.


Entry 2:
A relaxed structure of Na2CdRuO6. Source: Alexandria via LeMat-Bulk, functional PBE-GGA.

Cell and atoms, written as CIF:
```
data_Na2CdRuO6
_cell_length_a 5.555
_cell_length_b 5.752
_cell_length_c 9.658
_cell_angle_alpha 90.00
_cell_angle_beta 124.80
_cell_angle_gamma 90.00
_symmetry_space_group_name_H-M 'P 1 21/c 1'
_symmetry_Int_Tables_number 14
loop_
_symmetry_equiv_pos_as_xyz
'x,y,z'
'-x,-y,-z'
'-x,y+1/2,-z+1/2'
'x,-y+1/2,z+1/2'
loop_
_atom_site_label
_atom_site_type_symbol
_atom_site_fract_x
_atom_site_fract_y
_atom_site_fract_z
Na1 Na 0.236 0.056 0.251
Cd1 Cd 0.500 0.000 0.000
Ru1 Ru 0.000 0.000 0.500
O1 O 0.103 0.227 0.937
O2 O 0.224 0.676 0.949
O3 O 0.332 0.039 0.724
```

Computed properties:
Its calculated total energy is -5.2228 eV/atom. Its calculated volume is 253.4 Å³/cell. The uncorrected formation energy comes out at -965 meV per atom.


Entry 3:
A relaxed structure of V8Ir. Source: Alexandria via LeMat-Bulk, functional PBE-GGA.

Cell and atoms, written as CIF:
```
data_V8Ir
_cell_length_a 9.015
_cell_length_b 9.015
_cell_length_c 2.984
_cell_angle_alpha 90.00
_cell_angle_beta 90.00
_cell_angle_gamma 90.00
_symmetry_space_group_name_H-M 'I 4/m m m'
_symmetry_Int_Tables_number 139
_symmetry_space_group_name_Hall '-I 4 2'
loop_
_atom_site_label
_atom_site_type_symbol
_atom_site_fract_x
_atom_site_fract_y
_atom_site_fract_z
V1 V 0.000 0.334 0.000
V2 V 0.169 0.169 0.500
Ir1 Ir 0.000 0.000 0.000
```

Computed properties:
Its calculated total energy is -9.3140 eV/atom. The calculation puts the formation enthalpy at 0 K at -0.22 eV/atom. Its calculated volume is 242.5 Å³/cell.


Entry 4:
A relaxed structure of LiHgRu2. Source: Alexandria via LeMat-Bulk, functional PBE-GGA.

Cell and atoms, written as CIF:
```
data_LiHgRu2
_cell_length_a 2.830
_cell_length_b 3.734
_cell_length_c 5.830
_cell_angle_alpha 90.00
_cell_angle_beta 90.00
_cell_angle_gamma 90.00
_symmetry_space_group_name_H-M 'P m m 2'
_symmetry_Int_Tables_number 25
loop_
_symmetry_equiv_pos_as_xyz
'x,y,z'
'-x,-y,z'
'-x,y,z'
'x,-y,z'
loop_
_atom_site_label
_atom_site_type_symbol
_atom_site_fract_x
_atom_site_fract_y
_atom_site_fract_z
Li1 Li 0.000 0.000 0.000
Hg1 Hg 0.500 0.500 0.770
Ru1 Ru 0.000 0.000 0.451
Ru2 Ru 0.500 0.500 0.268
```

Computed properties:
Its calculated total energy is -5.0490 eV/atom. The calculation puts the formation enthalpy at 0 K at 0.14 eV/atom. Its calculated volume is 61.6 Å³/cell.


no.,total magnetization (μB/f.u.)
1,0.000
2,0.000
3,0.000
4,0.000